1.
Mg4CrPd15: relaxed, PBE-GGA.

Computed properties:
crystal system: tetragonal
formation energy from the elements: -0.40 eV per atom

a b c (Å): 3.9506 3.9506 19.8524
angles (deg): 90.00 90.00 90.00
Closest atoms and distances in Å follow each position.
Space group P4/mmm (No. 123)
One atom of each set of equivalent atoms:
Mg 0.0000 0.0000 0.1009  12 Pd 2.79-2.81
Mg 0.0000 0.0000 0.3012  12 Pd 2.79-2.83
Cr 0.0000 0.0000 0.5000  12 Pd 2.76-2.79
Pd 0.0000 0.5000 0.0000  8 Pd 2.79-2.81, 4 Mg 2.81
Pd 0.0000 0.5000 0.2012  8 Pd 2.79-2.81, 4 Mg 2.80
Pd 0.0000 0.5000 0.4032  2 Cr 2.76, 8 Pd 2.76-2.82, 2 Mg 2.83
Pd 0.5000 0.5000 0.1004  4 Mg 2.79, 8 Pd 2.81
Pd 0.5000 0.5000 0.3021  4 Mg 2.79, 8 Pd 2.81-2.82
Pd 0.5000 0.5000 0.5000  8 Pd 2.76, 4 Cr 2.79

---

2.
MgCrRe2Pd: relaxed, PBE-GGA.

Computed properties:
crystal system: tetragonal
formation energy from the elements: 1.33 eV per atom

a b c (Å): 4.3959 4.3959 4.7166
angles (deg): 90.00 90.00 90.00
Closest atoms and distances in Å follow each position.
Space group P4/mmm (No. 123)
One atom of each set of equivalent atoms:
Mg 0.0000 0.0000 0.0000  2 Cr 2.36
Cr 0.0000 0.0000 0.5000  4 Re 2.20, 2 Mg 2.36
Re 0.0000 0.5000 0.5000  2 Cr 2.20
Pd 0.5000 0.5000 0.0000  4 Mg 3.11, 8 Re 3.22

---

3.
MgCrPt: relaxed, PBE-GGA.

Computed properties:
crystal system: monoclinic
formation energy from the elements: -0.15 eV per atom

a b c (Å): 8.2385 4.3918 5.4991
angles (deg): 90.00 110.71 90.00
Closest atoms and distances in Å follow each position.
Space group Cm (No. 8)
One atom of each set of equivalent atoms:
Mg 0.0000 0.0000 0.0000  5 Pt 2.63-2.81, 3 Cr 2.71-2.89
Mg 0.2069 0.5000 0.3330  4 Cr 2.75-2.83, 6 Pt 2.76-2.97, 2 Mg 2.98
Cr 0.1482 0.5000 0.8081  1 Cr 1.90
Cr 0.4088 0.0000 0.6014  1 Cr 1.90
Pt 0.0647 0.0000 0.5310  5 Cr 2.62-2.72, 5 Mg 2.76-2.88
Pt 0.3352 0.0000 0.0849  4 Mg 2.63-2.88, 4 Cr 2.69-2.93

---

4.
Mg2CrPt2: relaxed, PBE-GGA.

Computed properties:
crystal system: tetragonal
formation energy from the elements: -0.28 eV per atom

a b c (Å): 6.4530 6.4530 4.0944
angles (deg): 90.00 90.00 90.00
Closest atoms and distances in Å follow each position.
Space group P4/mbm (No. 127)
One atom of each set of equivalent atoms:
Mg 0.1679 0.3321 0.0000  6 Pt 2.68-2.87
Cr 0.0000 0.0000 0.5000  4 Pt 2.48
Pt 0.1432 0.6432 0.5000  2 Cr 2.48, 1 Pt 2.61, 2 Mg 2.68

---

Number 1: volume 15.49 Å³ per atom, final energy -5.091 eV/atom, DOS at the Fermi energy 27.29 states/eV/f.u.. Number 2: volume 18.23 Å³ per atom, final energy -6.930 eV/atom, DOS at the Fermi energy 5.53 states/eV/f.u.. Number 3: volume 15.51 Å³ per atom, final energy -5.903 eV/atom, DOS at the Fermi energy 1.74 states/eV/f.u.. Number 4: volume 17.05 Å³ per atom, final energy -5.262 eV/atom, DOS at the Fermi energy 2.81 states/eV/f.u..